Entry from Alexandria via LeMat-Bulk: crystalline KCr3N at its relaxed geometry (PBE).

Cell lengths 4.171, 4.171, 4.171 Å; angles 90.00, 90.00, 90.00 degrees
Last column: magnetic moment on the atom in μB.
Sites, in units of the cell vectors:
Cr 0.000 0.500 0.000  2.41
Cr 0.000 0.000 0.500  2.58
Cr 0.500 0.000 0.000  2.08
K 0.500 0.500 0.500  0.05
N 0.000 0.000 0.000  -0.17

Properties
- Calculated volume: 72.5 Å³ per cell
- Polymorph energy (0 for the lowest one): 0.0 meV per atom
- Formation energy (no corrections): 966 meV/atom
- Space-group type: Pm-3m